Record 1
Computed, not measured: a relaxed structure of RbPIO2 at the PBE level of DFT.

Output
Fermi-level density of states   2.1 states/eV per cell
Total DFT energy (no corrections)   -2.573 eV/atom
Magnetic moment   4.799 Bohr magnetons per cell

a b c (Å): 4.7820 4.7820 7.7139
angles (deg): 90.00 90.00 90.00
Sites, in units of the cell vectors:
Rb 0.0000 0.0000 0.0000
P 0.5000 0.5000 0.5000
I 0.0000 0.0000 0.5000
O 0.0000 0.5000 0.0000
O 0.5000 0.0000 0.0000

Record 2
Computed, not measured: a relaxed structure of Sm2PuAsN5 at the PBE level of DFT.

Output
Fermi-level density of states   12.0 states/eV per cell
Total DFT energy (no corrections)   -8.550 eV/atom
Magnetic moment   6.419 Bohr magnetons per cell

a b c (Å): 7.3333 7.3333 10.2634
angles (deg): 90.00 90.00 152.44
Sites, in units of the cell vectors:
Sm 0.1102 0.8898 0.5000
Sm 0.1328 0.8672 0.1401
Sm 0.8672 0.1328 0.6401
Sm 0.8898 0.1102 0.0000
Pu 0.2033 0.7967 0.8436
Pu 0.7967 0.2033 0.3436
As 0.4571 0.5429 0.2590
As 0.5429 0.4571 0.7590
N 0.0358 0.9642 0.8451
N 0.2875 0.7125 0.4821
N 0.3265 0.6735 0.1956
N 0.3490 0.6510 0.8255
N 0.4906 0.5094 0.5980
N 0.5094 0.4906 0.0980
N 0.6510 0.3490 0.3255
N 0.6735 0.3265 0.6956
N 0.7125 0.2875 0.9821
N 0.9642 0.0358 0.3451

Record 3
Computed, not measured: a relaxed structure of Mg5Cr4 at the PBE level of DFT.

Output
Fermi-level density of states   19.3 states/eV per cell
Total DFT energy (no corrections)   -4.580 eV/atom
Magnetic moment   31.082 Bohr magnetons per cell

a b c (Å): 8.3239 8.3239 5.8086
angles (deg): 90.00 90.00 120.00
Sites, in units of the cell vectors:
Mg 0.0000 0.3131 0.2500
Mg 0.0000 0.6869 0.7500
Mg 0.3131 0.0000 0.2500
Mg 0.3131 0.3131 0.7500
Mg 0.3333 0.6667 0.0000
Mg 0.3333 0.6667 0.5000
Mg 0.6667 0.3333 0.0000
Mg 0.6667 0.3333 0.5000
Mg 0.6869 0.0000 0.7500
Mg 0.6869 0.6869 0.2500
Cr 0.0000 0.0000 0.0000
Cr 0.0000 0.0000 0.5000
Cr 0.0000 0.3479 0.7500
Cr 0.0000 0.6521 0.2500
Cr 0.3479 0.0000 0.7500
Cr 0.3479 0.3479 0.2500
Cr 0.6521 0.0000 0.2500
Cr 0.6521 0.6521 0.7500

Record 4
Computed, not measured: a relaxed structure of UCr2Ag2Se6 at the PBE level of DFT.

Output
Fermi-level density of states   5.9 states/eV per cell
Total DFT energy (no corrections)   -5.775 eV/atom
Magnetic moment   8.001 Bohr magnetons per cell

a b c (Å): 6.6057 6.6057 6.8196
angles (deg): 95.55 95.55 120.31
Sites, in units of the cell vectors:
U 0.0000 0.0000 0.0000
Cr 0.3343 0.6657 0.0000
Cr 0.6657 0.3343 0.0000
Ag 0.1257 0.8743 0.5000
Ag 0.8743 0.1257 0.5000
Se 0.0391 0.4053 0.2210
Se 0.3196 0.3196 0.7775
Se 0.4053 0.0391 0.2210
Se 0.5947 0.9609 0.7790
Se 0.6804 0.6804 0.2225
Se 0.9609 0.5947 0.7790

Record 5
Computed, not measured: a relaxed structure of Tm3Be4Co4 at the PBE level of DFT.

Output
Fermi-level density of states   11.6 states/eV per cell
Total DFT energy (no corrections)   -5.316 eV/atom
Magnetic moment   1.119 Bohr magnetons per cell

a b c (Å): 5.8416 5.8416 5.8416
angles (deg): 109.47 109.47 109.47
Sites, in units of the cell vectors:
Tm 0.0000 0.5000 0.5000
Tm 0.5000 0.0000 0.5000
Tm 0.5000 0.5000 0.0000
Be 0.0000 0.0000 0.7747
Be 0.0000 0.7747 0.0000
Be 0.2253 0.2253 0.2253
Be 0.7747 0.0000 0.0000
Co 0.0000 0.0000 0.4062
Co 0.0000 0.4062 0.0000
Co 0.4062 0.0000 0.0000
Co 0.5938 0.5938 0.5938

Record 6
Computed, not measured: a relaxed structure of KNa2SnCl8 at the PBE level of DFT.

Output
Fermi-level density of states   1.3 states/eV per cell
Total DFT energy (no corrections)   -3.143 eV/atom
Magnetic moment   0.228 Bohr magnetons per cell

a b c (Å): 5.7869 6.6211 9.0852
angles (deg): 90.02 90.14 92.02
Sites, in units of the cell vectors:
K 0.0000 0.0000 0.0000
Na 0.4989 0.5001 0.7265
Na 0.5011 0.4999 0.2735
Sn 0.0000 0.0000 0.5000
Cl 0.2338 0.8561 0.3010
Cl 0.2356 0.8580 0.6997
Cl 0.2395 0.3184 0.4993
Cl 0.2490 0.4853 0.0000
Cl 0.7510 0.5147 0.0000
Cl 0.7605 0.6816 0.5007
Cl 0.7644 0.1420 0.3003
Cl 0.7662 0.1439 0.6990

Record 7
Computed, not measured: a relaxed structure of Tm4ScAl4 at the PBE level of DFT.

Output
Fermi-level density of states   14.9 states/eV per cell
Total DFT energy (no corrections)   -4.545 eV/atom
Magnetic moment   0.000 Bohr magnetons per cell

a b c (Å): 8.5816 8.5816 5.7096
angles (deg): 90.00 90.00 90.00
Sites, in units of the cell vectors:
Tm 0.0795 0.8213 0.1247
Tm 0.1787 0.5795 0.6247
Tm 0.3213 0.9205 0.6247
Tm 0.4205 0.6787 0.1247
Tm 0.5795 0.3213 0.8753
Tm 0.6787 0.0795 0.3753
Tm 0.8213 0.4205 0.3753
Tm 0.9205 0.1787 0.8753
Sc 0.2500 0.2500 0.7500
Sc 0.7500 0.7500 0.2500
Al 0.0581 0.1559 0.3631
Al 0.1559 0.4419 0.1369
Al 0.3441 0.0581 0.1369
Al 0.4419 0.3441 0.3631
Al 0.5581 0.6559 0.6369
Al 0.6559 0.9419 0.8631
Al 0.8441 0.5581 0.8631
Al 0.9419 0.8441 0.6369

Record 8
Computed, not measured: a relaxed structure of La3SmY4 at the PBE level of DFT.

Output
Fermi-level density of states   29.9 states/eV per cell
Total DFT energy (no corrections)   -5.642 eV/atom
Magnetic moment   0.000 Bohr magnetons per cell

a b c (Å): 11.7032 7.3804 6.3944
angles (deg): 90.00 90.00 90.00
Sites, in units of the cell vectors:
La 0.0000 0.1257 0.0000
La 0.2496 0.1232 0.3264
La 0.2504 0.8768 0.8264
La 0.5000 0.8743 0.5000
La 0.7504 0.1232 0.3264
La 0.7496 0.8768 0.8264
Sm 0.0000 0.8701 0.4994
Sm 0.5000 0.1299 0.9994
Y 0.0000 0.3779 0.4961
Y 0.0000 0.6232 0.9983
Y 0.2490 0.6216 0.3312
Y 0.2510 0.3784 0.8312
Y 0.5000 0.3768 0.4983
Y 0.5000 0.6221 0.9961
Y 0.7490 0.3784 0.8312
Y 0.7510 0.6216 0.3312

Record 9
Computed, not measured: a relaxed structure of Li5Dy4Au6 at the PBE level of DFT.

Output
Fermi-level density of states   16.8 states/eV per cell
Total DFT energy (no corrections)   -3.775 eV/atom
Magnetic moment   0.000 Bohr magnetons per cell

a b c (Å): 10.8922 10.8922 14.6361
angles (deg): 90.00 90.00 158.34
Sites, in units of the cell vectors:
Li 0.0490 0.9510 0.5000
Li 0.1524 0.8476 0.8164
Li 0.1762 0.8238 0.0977
Li 0.1881 0.8119 0.4460
Li 0.3232 0.6768 0.4594
Li 0.6768 0.3232 0.9594
Li 0.8119 0.1881 0.9460
Li 0.8238 0.1762 0.5977
Li 0.8476 0.1524 0.3164
Li 0.9510 0.0490 0.0000
Dy 0.3227 0.6773 0.7729
Dy 0.3570 0.6430 0.1273
Dy 0.4575 0.5425 0.6116
Dy 0.4782 0.5218 0.3445
Dy 0.5218 0.4782 0.8445
Dy 0.5425 0.4575 0.1116
Dy 0.6430 0.3570 0.6273
Dy 0.6773 0.3227 0.2729
Au 0.0522 0.9478 0.6938
Au 0.0780 0.9220 0.2577
Au 0.0810 0.9190 0.9698
Au 0.2440 0.7560 0.6086
Au 0.2735 0.7265 0.2901
Au 0.3973 0.6027 0.9362
Au 0.6027 0.3973 0.4362
Au 0.7265 0.2735 0.7901
Au 0.7560 0.2440 0.1086
Au 0.9190 0.0810 0.4698
Au 0.9220 0.0780 0.7577
Au 0.9478 0.0522 0.1938

Record 10
Computed, not measured: a relaxed structure of Sm4SiPS2 at the PBE level of DFT.

Output
Fermi-level density of states   1.5 states/eV per cell
Total DFT energy (no corrections)   -6.374 eV/atom
Magnetic moment   0.000 Bohr magnetons per cell

a b c (Å): 7.0979 4.1008 7.1051
angles (deg): 90.00 109.45 90.00
Sites, in units of the cell vectors:
Sm 0.2435 0.0000 0.2471
Sm 0.2466 0.5000 0.7499
Sm 0.7534 0.5000 0.2501
Sm 0.7565 0.0000 0.7529
Si 0.0000 0.0000 0.5000
P 0.0000 0.5000 0.0000
S 0.5000 0.0000 0.0000
S 0.5000 0.5000 0.5000

Record 11
Computed, not measured: a relaxed structure of Cu3H7Os at the PBE level of DFT.

Output
Fermi-level density of states   0.3 states/eV per cell
Total DFT energy (no corrections)   -4.158 eV/atom
Magnetic moment   0.000 Bohr magnetons per cell

a b c (Å): 4.6885 4.6885 4.9360
angles (deg): 116.42 116.42 69.70
Sites, in units of the cell vectors:
Cu 0.0000 0.0000 0.0000
Cu 0.4899 0.9745 0.5176
Cu 0.9745 0.4899 0.5176
H 0.3323 0.7302 0.6041
H 0.3358 0.3358 0.7752
H 0.4048 0.9862 0.0942
H 0.5702 0.5702 0.2343
H 0.7302 0.3323 0.6041
H 0.8651 0.8651 0.1775
H 0.9862 0.4048 0.0942
Os 0.6031 0.6031 0.9175

Record 12
Computed, not measured: a relaxed structure of Ca2ReRh at the PBE level of DFT.

Output
Fermi-level density of states   4.1 states/eV per cell
Total DFT energy (no corrections)   -5.435 eV/atom
Magnetic moment   0.146 Bohr magnetons per cell

a b c (Å): 9.5765 9.5765 9.5765
angles (deg): 18.61 18.61 18.61
Sites, in units of the cell vectors:
Ca 0.2446 0.2446 0.2446
Ca 0.7554 0.7554 0.7554
Re 0.0000 0.0000 0.0000
Rh 0.5000 0.5000 0.5000